Entry from Alexandria: a relaxed Na2Pa4Te9 crystal (PBE).

Cell lengths 7.744, 7.744, 21.516 Å; angles 90.00, 90.00, 60.00 degrees
Positions (direct):
Pa1 0.667 0.667 0.325
Pa2 0.333 0.333 0.675
Pa3 0.667 0.667 0.825
Pa4 0.667 0.667 0.003
Pa5 0.333 0.333 0.175
Pa6 0.667 0.667 0.503
Pa7 0.333 0.333 0.497
Pa8 0.333 0.333 0.997
Na1 0.000 0.000 0.840
Na2 0.000 0.000 0.660
Na3 0.000 0.000 0.160
Na4 0.000 0.000 0.340
Te1 0.659 0.000 0.750
Te2 0.341 0.000 0.250
Te3 0.341 0.659 0.750
Te4 0.000 0.341 0.750
Te5 0.993 0.368 0.415
Te6 0.368 0.993 0.915
Te7 0.632 0.007 0.085
Te8 0.632 0.361 0.585
Te9 0.639 0.993 0.415
Te10 0.368 0.639 0.415
Te11 0.007 0.361 0.085
Te12 0.361 0.007 0.585
Te13 0.000 0.659 0.250
Te14 0.361 0.632 0.085
Te15 0.639 0.368 0.915
Te16 0.659 0.341 0.250
Te17 0.007 0.632 0.585
Te18 0.993 0.639 0.915

Properties
Symmetry   P-3c1
Calculated volume   558.7 Å³/f.u.

---

Entry from Alexandria: a relaxed NaPa4Te8 crystal (PBE).

Cell lengths 9.007, 9.007, 9.007 Å; angles 60.00, 60.00, 60.00 degrees
Positions (direct):
Te1 0.615 0.615 0.615
Te2 0.129 0.613 0.129
Te3 0.615 0.156 0.615
Te4 0.129 0.129 0.129
Te5 0.156 0.615 0.615
Te6 0.613 0.129 0.129
Te7 0.615 0.615 0.156
Te8 0.129 0.129 0.613
Pa1 0.371 0.886 0.371
Pa2 0.371 0.371 0.886
Pa3 0.886 0.371 0.371
Pa4 0.371 0.371 0.371
Na1 0.750 0.750 0.750

Properties
Symmetry   F-43m
Calculated volume   516.7 Å³/f.u.
Excess energy over the best structure of this formula in the dataset   0.46 eV per formula unit

---

Entry from Alexandria: a relaxed Na2PaTe5 crystal (PBE).

Cell lengths 8.169, 8.551, 8.493 Å; angles 138.84, 118.74, 90.00 degrees
Positions (direct):
Pa1 0.133 0.183 0.266
Te1 0.701 0.680 0.892
Te2 0.257 0.273 0.038
Te3 0.753 0.742 0.506
Te4 0.781 0.273 0.038
Te5 0.191 0.680 0.892
Na1 0.208 0.804 0.417
Na2 0.753 0.143 0.505

Properties
Symmetry   Cm
Calculated volume   266.5 Å³/f.u.

---

Entry from Alexandria: a relaxed Na3Pa4Te8 crystal (PBE).

Cell lengths 8.716, 8.791, 8.791 Å; angles 90.03, 119.33, 119.33 degrees
Positions (direct):
Pa1 0.000 0.000 0.500
Pa2 0.000 0.500 0.000
Pa3 0.500 0.000 0.000
Pa4 0.000 0.000 0.000
Te1 0.000 0.252 0.748
Te2 0.998 0.255 0.255
Te3 0.500 0.249 0.751
Te4 0.002 0.745 0.745
Te5 0.488 0.239 0.239
Te6 0.500 0.751 0.249
Te7 0.512 0.761 0.761
Te8 0.000 0.748 0.252
Na1 0.500 0.500 0.000
Na2 0.500 0.500 0.500
Na3 0.500 0.000 0.500

Properties
Symmetry   C2/m
Calculated volume   485.6 Å³/f.u.

---

Entry from Alexandria: a relaxed NaPaTe crystal (PBE).

Cell lengths 3.950, 3.950, 13.855 Å; angles 81.80, 81.80, 60.00 degrees
Positions (direct):
Na1 0.873 0.873 0.381
Na2 0.127 0.127 0.619
Pa1 0.314 0.314 0.059
Pa2 0.686 0.686 0.941
Te1 0.406 0.406 0.782
Te2 0.594 0.594 0.218

Properties
Symmetry   R-3m
Calculated volume   92.3 Å³/f.u.

---

Entry from Alexandria: a relaxed NaPa4Te8 crystal (PBE).

Cell lengths 8.627, 8.627, 9.037 Å; angles 103.52, 104.10, 120.00 degrees
Positions (direct):
Te1 0.200 0.033 0.233
Te2 0.800 0.967 0.767
Te3 0.698 0.529 0.227
Te4 0.299 0.968 0.768
Te5 0.302 0.471 0.773
Te6 0.801 0.469 0.768
Te7 0.199 0.531 0.232
Te8 0.701 0.032 0.232
Na1 0.000 0.500 0.500
Pa1 0.749 0.247 0.995
Pa2 0.247 0.247 0.000
Pa3 0.251 0.753 0.005
Pa4 0.753 0.753 0.000

Properties
Symmetry   C2/m
Calculated volume   511.8 Å³/f.u.
Excess energy over the best structure of this formula in the dataset   0.00 eV per formula unit

---

Number 1: theoretical density 6.3 g/cm³, calculated total energy -161.52 eV for the cell shown, formation energy without anion corrections -790.9 meV/atom. Number 2: theoretical density 6.3 g/cm³, calculated total energy -74.47 eV for the cell shown, formation energy without anion corrections -772.2 meV/atom. Number 3: theoretical density 5.7 g/cm³, calculated total energy -32.88 eV for the cell shown, formation energy without anion corrections -629.1 meV/atom. Number 4: theoretical density 6.9 g/cm³, calculated total energy -79.22 eV for the cell shown, formation energy without anion corrections -809.5 meV/atom. Number 5: theoretical density 6.9 g/cm³, calculated total energy -29.71 eV for the cell shown, formation energy without anion corrections -300.0 meV/atom. Number 6: theoretical density 6.4 g/cm³, calculated total energy -74.93 eV for the cell shown, formation energy without anion corrections -807.3 meV/atom.